Zn4In2O7: single point on PBEsol structure, meta-GGA SCAN.

Cell lengths 3.3890, 3.3890, 33.0691 Å; angles 90.00, 90.00, 120.00 degrees
Positions (direct):
Zn (0.0000, 0.0000, 0.6666)
Zn (0.3333, 0.6667, 0.4095)
O (0.0000, 0.0000, 0.2500)
In (0.0000, 0.0000, 0.5000)
Zn (0.3333, 0.6667, 0.0905)
In (0.6667, 0.3333, 0.7500)
O (0.0000, 0.0000, 0.8928)
Zn (0.0000, 0.0000, 0.3334)
O (0.3333, 0.6667, 0.0315)
O (0.3333, 0.6667, 0.4685)
Zn (0.6667, 0.3333, 0.9095)
O (0.3333, 0.6667, 0.3164)
Zn (0.6667, 0.3333, 0.5905)
In (0.3333, 0.6667, 0.2500)
O (0.6667, 0.3333, 0.6836)
O (0.6667, 0.3333, 0.9685)
O (0.0000, 0.0000, 0.1072)
O (0.6667, 0.3333, 0.5315)
Zn (0.0000, 0.0000, 0.8334)
O (0.0000, 0.0000, 0.7500)
O (0.3333, 0.6667, 0.1836)
Zn (0.0000, 0.0000, 0.1666)
In (0.0000, 0.0000, 0.0000)
O (0.0000, 0.0000, 0.3928)
O (0.0000, 0.0000, 0.6072)
O (0.6667, 0.3333, 0.8164)

Computed properties:
Calculated volume   12.7 Å³/atom
Raw formation energy   -1.608 eV/atom
Uncorrected energy   -14.26 eV per atom

K2HRuO: single point on PBEsol structure, meta-GGA SCAN.

Cell lengths 3.6759, 5.5593, 5.5593 Å; angles 90.00, 90.00, 90.00 degrees
Last column: magnetic moment on the atom in μB.
Positions (direct):
K (0.0000, 0.0000, 0.5000)  0.00
Ru (0.5000, 0.0000, 0.0000)  0.51
O (0.0000, 0.0000, 0.0000)  0.00
H (0.5000, 0.5000, 0.5000)  0.07
K (0.0000, 0.5000, 0.0000)  0.00

Computed properties:
Calculated volume   22.7 Å³/atom
Uncorrected energy   -12.41 eV per atom

HgMo3: single point on PBEsol structure, meta-GGA SCAN.

Cell lengths 2.7668, 5.0073, 5.0073 Å; angles 111.64, 90.00, 90.00 degrees
Positions (direct):
Mo (0.5000, 0.5000, 0.0000)
Mo (0.5000, 0.0000, 0.5000)
Hg (0.0000, 0.0000, 0.0000)
Mo (0.0000, 0.5000, 0.5000)

Computed properties:
Calculated volume   16.1 Å³/atom
Offset from the most stable computed form   0.182 eV per atom
Uncorrected energy   -42.71 eV per atom

TaCl2O: single point on PBEsol structure, meta-GGA SCAN.

Cell lengths 4.1957, 4.1957, 4.1957 Å; angles 60.00, 60.00, 60.00 degrees
Last column: magnetic moment on the atom in μB.
Positions (direct):
Cl (0.7500, 0.7500, 0.7500)  0.02
O (0.0000, 0.0000, 0.0000)  0.10
Ta (0.5000, 0.5000, 0.5000)  -0.70
Cl (0.2500, 0.2500, 0.2500)  0.02

Computed properties:
Calculated volume   13.1 Å³/atom
Raw formation energy   -0.060 eV/atom
Uncorrected energy   -22.25 eV per atom

KCa2Ni: single point on PBEsol structure, meta-GGA SCAN.

Cell lengths 3.8943, 3.8943, 9.2238 Å; angles 90.00, 90.00, 89.99 degrees
Positions (direct):
K (0.0000, 0.0000, 0.4572)
Ca (0.5000, 0.5000, 0.8267)
Ca (0.0000, 0.0000, 0.0850)
Ni (0.5000, 0.5000, 0.1312)

Computed properties:
Calculated volume   35.0 Å³/atom
Offset from the most stable computed form   0.000 eV per atom
Uncorrected energy   -10.71 eV per atom

ZrSbN2O: single point on PBEsol structure, meta-GGA SCAN.

Cell lengths 4.0181, 4.2049, 4.2049 Å; angles 90.00, 90.00, 90.00 degrees
Last column: magnetic moment on the atom in μB.
Positions (direct):
Sb (0.5000, 0.5000, 0.5000)  -0.10
N (0.0000, 0.5000, 0.0000)  0.45
O (0.5000, 0.0000, 0.0000)  0.02
Zr (0.0000, 0.0000, 0.0000)  -0.02
N (0.0000, 0.0000, 0.5000)  0.45

Computed properties:
Calculated volume   14.2 Å³/atom
Raw formation energy   -0.386 eV/atom
Uncorrected energy   -18.94 eV per atom

SrBe3Ni: single point on PBEsol structure, meta-GGA SCAN.

Cell lengths 4.2124, 4.2124, 4.2124 Å; angles 90.00, 90.00, 90.00 degrees
Positions (direct):
Ni (0.0000, 0.0000, 0.0000)
Be (0.0000, 0.5000, 0.0000)
Be (0.0000, 0.0000, 0.5000)
Sr (0.5000, 0.5000, 0.5000)
Be (0.5000, 0.0000, 0.0000)

Computed properties:
Calculated volume   14.9 Å³/atom
Uncorrected energy   -10.20 eV per atom

Mn2CoSi: single point on PBEsol structure, meta-GGA SCAN.

Cell lengths 2.5294, 3.5088, 5.4687 Å; angles 90.00, 117.58, 90.00 degrees
Last column: magnetic moment on the atom in μB.
Positions (direct):
Mn (0.2501, 0.0000, 0.2503)  2.34
Co (0.0000, 0.5000, 0.5000)  0.25
Si (0.5000, 0.5000, 0.0000)  -0.12
Mn (0.7499, 0.0000, 0.7497)  2.34

Computed properties:
Calculated volume   10.8 Å³/atom
Raw formation energy   -0.206 eV/atom
Uncorrected energy   -16.16 eV per atom

Li2V2OF6: single point on PBEsol structure, meta-GGA SCAN.

Cell lengths 5.1714, 6.7452, 8.3165 Å; angles 70.26, 76.76, 84.36 degrees
Last column: magnetic moment on the atom in μB.
Positions (direct):
F (0.0867, 0.6138, 0.0932)  0.04
V (0.2667, 0.2823, 0.8228)  1.88
F (0.3461, 0.7609, 0.2957)  0.02
Li (0.1346, 0.0141, 0.2599)  0.00
V (0.1652, 0.4894, 0.3298)  1.96
F (0.1792, 0.0133, 0.8182)  0.01
Li (0.3474, 0.7603, 0.9028)  0.00
V (0.7243, 0.7012, 0.2041)  1.98
F (0.5511, 0.4318, 0.2272)  0.01
F (0.3616, 0.1802, 0.0477)  0.02
F (0.6448, 0.8105, 0.9708)  0.00
F (0.0711, 0.2160, 0.3616)  0.01
F (0.2018, 0.4134, 0.5749)  0.03
F (0.8410, 0.9801, 0.1765)  0.01
O (0.8282, 0.5841, 0.4229)  -0.10
O (0.9381, 0.3886, 0.8618)  -0.16
Li (0.6829, 0.2459, 0.0881)  0.00
Li (0.8594, 0.9839, 0.7549)  0.00
F (0.6446, 0.2380, 0.7078)  0.01
F (0.8889, 0.8036, 0.6309)  0.03
V (0.8014, 0.5246, 0.6673)  1.87
F (0.4348, 0.5639, 0.7813)  0.01

Computed properties:
Calculated volume   12.1 Å³/atom
Raw formation energy   -3.076 eV/atom
Uncorrected energy   -9.19 eV per atom

NiSb2Os: single point on PBEsol structure, meta-GGA SCAN.

Cell lengths 3.1545, 4.6192, 4.6174 Å; angles 90.00, 90.00, 90.00 degrees
Positions (direct):
Ni (0.5000, 0.5000, 0.0000)
Sb (0.0000, 0.0000, 0.0000)
Sb (0.0000, 0.5000, 0.5000)
Os (0.5000, 0.0000, 0.5000)

Computed properties:
Calculated volume   16.8 Å³/atom
Raw formation energy   0.528 eV/atom
Offset from the most stable computed form   0.285 eV per atom
Uncorrected energy   -40.12 eV per atom

NiRh2Cl: single point on PBEsol structure, meta-GGA SCAN.

Cell lengths 4.2437, 4.2437, 4.2437 Å; angles 60.00, 60.00, 60.00 degrees
Positions (direct):
Rh (0.7500, 0.7500, 0.7500)
Ni (0.2500, 0.2500, 0.2500)
Cl (0.5000, 0.5000, 0.5000)
Rh (0.0000, 0.0000, 0.0000)

Computed properties:
Calculated volume   13.5 Å³/atom
Raw formation energy   0.708 eV/atom
Offset from the most stable computed form   0.509 eV per atom
Uncorrected energy   -22.22 eV per atom

Zr5Au3: single point on PBEsol structure, meta-GGA SCAN.

Cell lengths 5.2637, 8.4073, 8.4073 Å; angles 120.00, 90.00, 90.00 degrees
Positions (direct):
Zr (0.0000, 0.6667, 0.3333)
Zr (0.0000, 0.3333, 0.6667)
Au (0.7500, 0.3950, 0.3950)
Au (0.2500, 0.3950, 0.0000)
Zr (0.5000, 0.6667, 0.3333)
Au (0.2500, 0.0000, 0.3950)
Au (0.2500, 0.6050, 0.6050)
Zr (0.2500, 0.7553, 0.0000)
Zr (0.7500, 0.7553, 0.7553)
Zr (0.7500, 0.0000, 0.2447)
Zr (0.2500, 0.2447, 0.2447)
Zr (0.7500, 0.2447, 0.0000)
Zr (0.2500, 0.0000, 0.7553)
Zr (0.5000, 0.3333, 0.6667)
Au (0.7500, 0.0000, 0.6050)
Au (0.7500, 0.6050, 0.0000)

Computed properties:
Calculated volume   20.1 Å³/atom
Offset from the most stable computed form   0.000 eV per atom
Uncorrected energy   -45.78 eV per atom

Ba2LiCa: single point on PBEsol structure, meta-GGA SCAN.

Cell lengths 4.3021, 6.4733, 7.5399 Å; angles 115.36, 106.58, 90.00 degrees
Positions (direct):
Ba (0.7572, 0.2574, 0.5144)
Li (0.2390, 0.7387, 0.4780)
Ba (0.9651, 0.9652, 0.9302)
Ca (0.5387, 0.5387, 0.0774)

Computed properties:
Calculated volume   45.0 Å³/atom
Offset from the most stable computed form   0.020 eV per atom
Uncorrected energy   -22.74 eV per atom

Gd2AgRu: single point on PBEsol structure, meta-GGA SCAN.

Cell lengths 4.9127, 4.9127, 4.9127 Å; angles 60.00, 60.00, 60.00 degrees
Last column: magnetic moment on the atom in μB.
Positions (direct):
Ag (0.5000, 0.5000, 0.5000)  0.02
Gd (0.2500, 0.2500, 0.2500)  7.22
Ru (0.0000, 0.0000, 0.0000)  -0.54
Gd (0.7500, 0.7500, 0.7500)  7.22

Computed properties:
Calculated volume   21.0 Å³/atom
Uncorrected energy   -46.26 eV per atom

LiZrRe2: single point on PBEsol structure, meta-GGA SCAN.

Cell lengths 3.2724, 4.1786, 4.5065 Å; angles 90.00, 90.00, 90.00 degrees
Positions (direct):
Re (0.5000, 0.5000, 0.0000)
Li (0.0000, 0.5000, 0.5000)
Zr (0.5000, 0.0000, 0.5000)
Re (0.0000, 0.0000, 0.0000)

Computed properties:
Calculated volume   15.4 Å³/atom
Offset from the most stable computed form   0.071 eV per atom
Uncorrected energy   -43.75 eV per atom

BeRh5: single point on PBEsol structure, meta-GGA SCAN.

Cell lengths 2.6918, 2.6918, 10.2816 Å; angles 90.00, 90.00, 90.00 degrees
Positions (direct):
Rh (0.5000, 0.5000, 0.8187)
Be (0.5000, 0.5000, 0.5000)
Rh (0.0000, 0.0000, 0.0000)
Rh (0.0000, 0.0000, 0.3652)
Rh (0.0000, 0.0000, 0.6348)
Rh (0.5000, 0.5000, 0.1813)

Computed properties:
Calculated volume   12.4 Å³/atom
Uncorrected energy   -29.09 eV per atom

LiYMo: single point on PBEsol structure, meta-GGA SCAN.

Cell lengths 2.9440, 3.8979, 5.4151 Å; angles 111.09, 105.77, 90.00 degrees
Positions (direct):
Mo (0.6509, 0.6509, 0.3019)
Li (0.0179, 0.0179, 0.0358)
Y (0.3312, 0.3312, 0.6624)

Computed properties:
Calculated volume   18.5 Å³/atom
Uncorrected energy   -21.12 eV per atom

BPdN2O: single point on PBEsol structure, meta-GGA SCAN.

Cell lengths 3.8261, 3.8261, 3.9870 Å; angles 90.00, 90.00, 90.00 degrees
Last column: magnetic moment on the atom in μB.
Positions (direct):
B (0.5000, 0.5000, 0.5000)  0.03
Pd (0.0000, 0.0000, 0.0000)  0.23
N (0.0000, 0.5000, 0.0000)  1.06
N (0.5000, 0.0000, 0.0000)  1.06
O (0.0000, 0.0000, 0.5000)  0.21

Computed properties:
Calculated volume   11.7 Å³/atom
Raw formation energy   2.137 eV/atom
Uncorrected energy   -10.87 eV per atom

Si2HgPt2: single point on PBEsol structure, meta-GGA SCAN.

Cell lengths 3.7833, 3.7833, 6.3909 Å; angles 107.22, 107.22, 90.00 degrees
Positions (direct):
Hg (0.0000, 0.0000, 0.0000)
Si (0.7500, 0.2500, 0.5000)
Pt (0.6246, 0.6246, 0.2492)
Pt (0.3754, 0.3754, 0.7508)
Si (0.2500, 0.7500, 0.5000)

Computed properties:
Calculated volume   16.6 Å³/atom
Raw formation energy   -0.410 eV/atom
Uncorrected energy   -46.13 eV per atom

GdFeNi4: single point on PBEsol structure, meta-GGA SCAN.

Cell lengths 3.8884, 4.8694, 4.8694 Å; angles 120.00, 90.00, 90.00 degrees
Last column: magnetic moment on the atom in μB.
Positions (direct):
Ni (0.5000, 0.1664, 0.8336)  -0.58
Fe (0.0000, 0.3333, 0.6667)  -2.94
Gd (0.0000, 0.6667, 0.3333)  7.26
Ni (0.5000, 0.1664, 0.3327)  -0.58
Ni (0.5000, 0.6673, 0.8336)  -0.58
Ni (0.0000, 0.0000, 0.0000)  -0.43

Computed properties:
Calculated volume   13.3 Å³/atom
Uncorrected energy   -23.85 eV per atom

K2MgZn: single point on PBEsol structure, meta-GGA SCAN.

Cell lengths 5.7457, 5.7241, 5.7457 Å; angles 59.88, 90.00, 120.12 degrees
Positions (direct):
K (0.2500, 0.5000, 0.2500)
Mg (0.5000, 0.0000, 0.5000)
Zn (0.7500, 0.5000, 0.7500)
K (0.0000, 0.0000, 0.0000)

Computed properties:
Calculated volume   33.3 Å³/atom
Uncorrected energy   -8.53 eV per atom

SbTeMoPt2: single point on PBEsol structure, meta-GGA SCAN.

Cell lengths 4.8213, 4.8213, 5.6673 Å; angles 90.00, 90.00, 90.00 degrees
Last column: magnetic moment on the atom in μB.
Positions (direct):
Te (0.0000, 0.0000, 0.0000)  0.01
Sb (0.0000, 0.0000, 0.5000)  -0.22
Mo (0.5000, 0.5000, 0.5000)  3.73
Pt (0.5000, 0.0000, 0.0000)  -0.09
Pt (0.0000, 0.5000, 0.0000)  -0.09

Computed properties:
Calculated volume   26.3 Å³/atom
Raw formation energy   1.313 eV/atom
Uncorrected energy   -48.64 eV per atom

BaNiPd3: single point on PBEsol structure, meta-GGA SCAN.

Cell lengths 5.1984, 5.1984, 5.1984 Å; angles 90.00, 90.00, 90.00 degrees
Last column: magnetic moment on the atom in μB.
Positions (direct):
Ba (0.0000, 0.0000, 0.0000)  -0.02
Pd (0.0000, 0.5000, 0.0000)  -0.01
Ni (0.5000, 0.5000, 0.5000)  1.45
Pd (0.5000, 0.0000, 0.0000)  -0.01
Pd (0.0000, 0.0000, 0.5000)  -0.01

Computed properties:
Calculated volume   28.1 Å³/atom
Uncorrected energy   -29.21 eV per atom

La2MgZrCl: single point on PBEsol structure, meta-GGA SCAN.

Cell lengths 4.5178, 6.0064, 6.0064 Å; angles 90.00, 90.00, 90.00 degrees
Last column: magnetic moment on the atom in μB.
Positions (direct):
La (0.0000, 0.0000, 0.5000)  0.38
Mg (0.0000, 0.0000, 0.0000)  0.01
Cl (0.5000, 0.0000, 0.0000)  0.04
La (0.0000, 0.5000, 0.0000)  0.38
Zr (0.5000, 0.5000, 0.5000)  1.50

Computed properties:
Calculated volume   32.6 Å³/atom
Raw formation energy   0.494 eV/atom
Uncorrected energy   -25.48 eV per atom

Rb2Pd3S4: single point on PBEsol structure, meta-GGA SCAN.

Cell lengths 6.1016, 6.1016, 7.2837 Å; angles 102.60, 102.60, 118.63 degrees
Positions (direct):
Pd (0.5000, 0.5000, 0.0000)
Rb (0.1574, 0.1574, 0.3148)
Rb (0.8426, 0.8426, 0.6852)
S (0.2159, 0.5532, 0.7691)
Pd (0.5000, 0.0000, 0.0000)
Pd (0.0000, 0.5000, 0.0000)
S (0.7841, 0.4468, 0.2309)
S (0.4468, 0.7841, 0.2309)
S (0.5532, 0.2159, 0.7691)

Computed properties:
Calculated volume   23.9 Å³/atom
Raw formation energy   -0.870 eV/atom
Uncorrected energy   -20.68 eV per atom

InGa2Ag2: single point on PBEsol structure, meta-GGA SCAN.

Cell lengths 3.8003, 3.8003, 7.0822 Å; angles 105.56, 105.56, 90.00 degrees
Positions (direct):
Ag (0.3957, 0.3957, 0.7915)
Ag (0.6043, 0.6043, 0.2085)
Ga (0.7500, 0.2500, 0.5000)
In (0.0000, 0.0000, 0.0000)
Ga (0.2500, 0.7500, 0.5000)

Computed properties:
Calculated volume   18.9 Å³/atom
Offset from the most stable computed form   0.000 eV per atom
Uncorrected energy   -25.68 eV per atom